Entry 1:
Here is TaNiIr after structural relaxation from Alexandria via LeMat-Bulk. Energies are from GGA-PBEsol.

Structure (POSCAR):
```
TaNiIr
1.0
-0.071 -1.698 2.359
3.070 1.406 1.104
-3.552 3.039 0.290
Ni Ir Ta
1 1 1
direct
0.667 0.667 0.335
0.001 0.001 0.002
0.332 0.332 0.663
```

Summary:
ΔH_f (0 K), eV/f.u.: -1.301
Electronic total energy, eV per atom: -9.944
Energy relative to the lowest polymorph listed for this composition, eV/atom: 0.000

Entry 2:
Here is Re2NiHg after structural relaxation from Alexandria via LeMat-Bulk. Energies are from GGA-PBEsol.

Structure (POSCAR):
```
Re2NiHg
1.0
2.720 0.000 0.000
0.000 4.388 0.000
-1.360 -2.194 5.048
Hg Ni Re
1 1 2
direct
0.500 0.000 0.000
0.000 0.500 0.000
0.711 0.711 0.423
0.289 0.289 0.577
```

Summary:
ΔH_f (0 K), eV/f.u.: 1.712
Electronic total energy, eV per atom: -7.919

Entry 3:
Here is Ta2CuAg after structural relaxation from Alexandria via LeMat-Bulk. Energies are from GGA-PBEsol.

Structure (POSCAR):
```
Ta2CuAg
1.0
2.676 0.000 0.000
0.000 4.321 0.000
-1.334 0.000 5.487
Ag Cu Ta
1 1 2
direct
0.191 0.000 0.504
0.316 0.500 0.759
0.924 0.000 0.973
0.570 0.500 0.264
```

Summary:
ΔH_f (0 K), eV/f.u.: 0.903
Electronic total energy, eV per atom: -7.961
Energy relative to the lowest polymorph listed for this composition, eV/atom: 0.008

Entry 4:
Here is Be2NiW2 after structural relaxation from Alexandria via LeMat-Bulk. Energies are from GGA-PBEsol.

Structure (POSCAR):
```
Be2NiW2
1.0
-2.449 -0.756 -0.942
0.133 -2.286 1.488
-2.283 5.215 5.707
Ni W Be
1 2 2
direct
0.000 0.000 0.000
0.385 0.385 0.770
0.615 0.615 0.230
0.250 0.750 0.500
0.750 0.250 0.500
```

Summary:
ΔH_f (0 K), eV/f.u.: 1.626
Electronic total energy, eV per atom: -8.029